Computed, not measured: a relaxed Pm2Ni3As4Ir crystal at the PBE level of DFT.

a b c (Å): 4.2197 4.2197 9.6447
angles (deg): 90.00 90.00 90.00
Element x y z (fractional)
Pm: 0.5000 0.0000 0.2467
Pm: 0.0000 0.5000 0.7533
Ni: 0.0000 0.0000 0.5000
Ni: 0.5000 0.0000 0.8826
Ni: 0.0000 0.5000 0.1174
As: 0.5000 0.5000 0.0000
As: 0.0000 0.0000 0.0000
As: 0.5000 0.0000 0.6379
As: 0.0000 0.5000 0.3621
Ir: 0.5000 0.5000 0.5000

- energy relative to the elements (eV/atom) = -0.791
- crystal system = tetragonal
- DOS(E_F) (states/eV per cell) = 3.7
- space-group type = P-4m2 (115)


Computed, not measured: a relaxed SrTlSn2H crystal at the PBE level of DFT.

a b c (Å): 4.9141 4.9141 5.0800
angles (deg): 90.00 90.00 90.00
Element x y z (fractional)
Sr: 0.0000 0.0000 0.5000
Tl: 0.5000 0.5000 0.5000
Sn: 0.0000 0.5000 0.0000
Sn: 0.5000 0.0000 0.0000
H: 0.0000 0.0000 0.0000

- crystal system = tetragonal
- raw total energy (eV/cell) = -16.1
- DOS(E_F) (states/eV per cell) = 2.4
- space-group type = P4/mmm (123)


Computed, not measured: a relaxed Co2SiCl crystal at the PBE level of DFT.

a b c (Å): 4.8350 4.8350 4.8350
angles (deg): 147.37 114.25 75.35
Element x y z (fractional)
Cl: 0.2500 0.7500 0.5000
Co: 0.9912 0.9912 0.0000
Co: 0.5088 0.5088 0.0000
Si: 0.7500 0.2500 0.5000

- crystal system = orthorhombic
- distance to the lowest polymorph of the same formula (eV per atom) = 0.4494
- DOS(E_F) (states/eV per cell) = 4.2
- space-group type = Immm (71)


Computed, not measured: a relaxed TlPtAu3 crystal at the PBE level of DFT.

a b c (Å): 5.1578 5.1578 5.1578
angles (deg): 90.00 90.00 90.00
Element x y z (fractional)
Tl: 0.0000 0.0000 0.0000
Au: 0.0000 0.5000 0.0000
Au: 0.0000 0.0000 0.5000
Au: 0.5000 0.0000 0.0000
Pt: 0.5000 0.5000 0.5000

- energy relative to the elements (eV/atom) = 1.250
- crystal system = cubic
- distance to the lowest polymorph of the same formula (eV per atom) = 0.8259
- DOS(E_F) (states/eV per cell) = 3.1
- space-group type = Pm-3m (221)


Computed, not measured: a relaxed Ta2Tc2Au crystal at the PBE level of DFT.

a b c (Å): 7.4042 7.4042 3.1478
angles (deg): 90.00 90.00 90.00
Element x y z (fractional)
Au: 0.0000 0.0000 0.0000
Au: 0.5000 0.5000 0.0000
Tc: 0.3603 0.8603 0.0000
Tc: 0.8603 0.6397 0.0000
Tc: 0.6397 0.1397 0.0000
Tc: 0.1397 0.3603 0.0000
Ta: 0.1571 0.6571 0.5000
Ta: 0.6571 0.8429 0.5000
Ta: 0.8429 0.3429 0.5000
Ta: 0.3429 0.1571 0.5000

- energy relative to the elements (eV/atom) = 0.071
- crystal system = tetragonal
- DOS(E_F) (states/eV per cell) = 10.0
- space-group type = P4/mbm (127)


Computed, not measured: a relaxed CaAlAg2 crystal at the PBE level of DFT.

a b c (Å): 4.5312 6.7362 5.7538
angles (deg): 148.96 90.00 90.00
Element x y z (fractional)
Ca: 0.5000 0.5000 0.0000
Al: 0.5000 0.0000 0.0000
Ag: 0.0000 0.0036 0.7553
Ag: 0.0000 0.9964 0.2447

- energy relative to the elements (eV/atom) = -0.135
- crystal system = monoclinic
- DOS(E_F) (states/eV per cell) = 1.7
- space-group type = P2/m (10)


Computed, not measured: a relaxed SmYSc crystal at the PBE level of DFT.

a b c (Å): 3.4391 6.3051 10.1522
angles (deg): 95.27 99.69 56.95
Element x y z (fractional)
Sm: 0.2187 0.2812 0.9722
Sm: 0.4994 0.7811 0.5315
Y: 0.3145 0.7811 0.1628
Y: 0.4036 0.2811 0.3409
Sc: 0.1488 0.7811 0.8306
Sc: 0.5693 0.2811 0.6732

- energy relative to the elements (eV/atom) = 0.046
- crystal system = monoclinic
- distance to the lowest polymorph of the same formula (eV per atom) = 0.0000
- DOS(E_F) (states/eV per cell) = 10.1
- space-group type = P2_1/m (11)


Computed, not measured: a relaxed Dy2TmPu crystal at the PBE level of DFT.

a b c (Å): 3.4251 3.4251 12.3000
angles (deg): 82.00 82.00 60.00
Element x y z (fractional)
Tm: 0.5000 0.5000 0.5000
Dy: 0.0893 0.0893 0.7321
Dy: 0.9107 0.9107 0.2679
Pu: 0.0000 0.0000 0.0000

- energy relative to the elements (eV/atom) = 0.256
- crystal system = trigonal
- distance to the lowest polymorph of the same formula (eV per atom) = 0.1653
- DOS(E_F) (states/eV per cell) = 11.8
- space-group type = R-3m (166)


Computed, not measured: a relaxed TbCe2Re crystal at the PBE level of DFT.

a b c (Å): 3.4241 3.4241 8.7473
angles (deg): 90.00 90.00 90.00
Element x y z (fractional)
Re: 0.5000 0.5000 0.0000
Tb: 0.5000 0.5000 0.5000
Ce: 0.0000 0.0000 0.7992
Ce: 0.0000 0.0000 0.2008

- energy relative to the elements (eV/atom) = 0.158
- crystal system = tetragonal
- distance to the lowest polymorph of the same formula (eV per atom) = 0.0000
- DOS(E_F) (states/eV per cell) = 9.5
- space-group type = P4/mmm (123)


Computed, not measured: a relaxed Tb7Y12Mg crystal at the PBE level of DFT.

a b c (Å): 8.7252 8.7252 8.7252
angles (deg): 86.28 86.28 86.28
Element x y z (fractional)
Tb: 0.8504 0.6022 0.9236
Tb: 0.3978 0.0764 0.1496
Tb: 0.0764 0.1496 0.3978
Tb: 0.5000 0.5000 0.5000
Tb: 0.9236 0.8504 0.6022
Tb: 0.6022 0.9236 0.8504
Tb: 0.1496 0.3978 0.0764
Y: 0.8561 0.2470 0.7390
Y: 0.7530 0.2610 0.1439
Y: 0.6140 0.1383 0.4994
Y: 0.8617 0.5006 0.3860
Y: 0.2610 0.1439 0.7530
Y: 0.5006 0.3860 0.8617
Y: 0.4994 0.6140 0.1383
Y: 0.7390 0.8561 0.2470
Y: 0.1383 0.4994 0.6140
Y: 0.3860 0.8617 0.5006
Y: 0.2470 0.7390 0.8561
Y: 0.1439 0.7530 0.2610
Mg: 0.0000 0.0000 0.0000

- energy relative to the elements (eV/atom) = 0.216
- crystal system = trigonal
- DOS(E_F) (states/eV per cell) = 33.0
- space-group type = R-3 (148)


Computed, not measured: a relaxed RbMn crystal at the PBE level of DFT.

a b c (Å): 14.0168 14.0168 3.3478
angles (deg): 90.00 90.00 90.00
Element x y z (fractional)
Rb: 0.7581 0.5000 0.0000
Rb: 0.2419 0.5000 0.0000
Rb: 0.5000 0.2419 0.0000
Rb: 0.5000 0.7581 0.0000
Rb: 0.2581 0.0000 0.5000
Rb: 0.7419 0.0000 0.5000
Rb: 0.0000 0.7419 0.5000
Rb: 0.0000 0.2581 0.5000
Mn: 0.2208 0.2208 0.0000
Mn: 0.2208 0.7792 0.0000
Mn: 0.7792 0.2208 0.0000
Mn: 0.7792 0.7792 0.0000
Mn: 0.7208 0.7208 0.5000
Mn: 0.7208 0.2792 0.5000
Mn: 0.2792 0.7208 0.5000
Mn: 0.2792 0.2792 0.5000

- energy relative to the elements (eV/atom) = 1.277
- crystal system = tetragonal
- distance to the lowest polymorph of the same formula (eV per atom) = 0.4781
- DOS(E_F) (states/eV per cell) = 19.2
- space-group type = I4/mmm (139)


Computed, not measured: a relaxed Sr3Tl2Cd6Ag crystal at the PBE level of DFT.

a b c (Å): 6.0923 6.0923 10.6537
angles (deg): 90.00 90.00 120.00
Element x y z (fractional)
Sr: 0.3333 0.6667 0.5775
Sr: 0.6667 0.3333 0.4225
Sr: 0.0000 0.0000 0.0000
Tl: 0.6667 0.3333 0.0817
Tl: 0.3333 0.6667 0.9183
Cd: 0.6612 0.8306 0.2714
Cd: 0.1694 0.3388 0.2714
Cd: 0.1694 0.8306 0.2714
Cd: 0.8306 0.6612 0.7286
Cd: 0.3388 0.1694 0.7286
Cd: 0.8306 0.1694 0.7286
Ag: 0.0000 0.0000 0.5000

- energy relative to the elements (eV/atom) = -0.206
- crystal system = trigonal
- DOS(E_F) (states/eV per cell) = 7.3
- space-group type = P-3m1 (164)


- Number 7 is which compound?
  SmYSc